No. 1
Material: PrDyAsSe
Method: DFT, GGA-PBE
State: relaxed

Its uncorrected formation energy is -662 kJ/mol of formula units.

The structure belongs to space group R3m (No. 160, hexagonal axes); the cell edges are 4.1837, 4.1837 and 20.7220 Å and the angles 90.00°, 90.00° and 120.00°. The asymmetric unit holds Pr at (0.0000, 0.0000, 0.0000), Dy at (0.0000, 0.0000, 0.5078), As at (0.0000, 0.0000, 0.2493) and Se at (0.0000, 0.0000, 0.7584).

No. 2
Material: PrSmDy2As4
Method: DFT, GGA-PBE
State: relaxed

The energy relative to the elements is -1519 meV/atom.

The structure belongs to space group P2/m (No. 10); the cell edges are 7.2552, 4.1938 and 7.2589 Å and the angles 90.00°, 109.48° and 90.00°. The asymmetric unit holds Pr at (0.0000, 0.0000, 0.0000), Sm at (0.0000, 0.5000, 0.5000), Dy at (0.5000, 0.0000, 0.5000), Dy at (0.5000, 0.5000, 0.0000), As at (0.2577, 0.0000, 0.7501) and As at (0.2597, 0.5000, 0.2557).

No. 3
Material: PrSm3Dy2As6
Method: DFT, GGA-PBE
State: relaxed

The energy relative to the elements is -1519 meV/atom.

The structure belongs to space group C2/m (No. 12); the cell edges are 7.2741, 12.5979 and 7.2747 Å and the angles 90.00°, 109.46° and 90.00°. The asymmetric unit holds Pr at (0.0000, 0.0000, 0.0000), Sm at (0.0000, 0.1653, 0.5000), Sm at (0.0000, 0.5000, 0.5000), Dy at (0.0000, 0.3329, 0.0000), As at (0.2429, 0.5000, 0.2471) and As at (0.2475, 0.3303, 0.7517).

No. 4
Material: Pr2SmDy3As6
Method: DFT, GGA-PBE
State: relaxed

The energy relative to the elements is -1515 meV/atom.

The structure belongs to space group C2/m (No. 12); the cell edges are 18.2947, 4.2010 and 8.3939 Å and the angles 90.00°, 103.22° and 90.00°. The asymmetric unit holds Pr at (0.1662, 0.0000, 0.3325), Sm at (0.0000, 0.5000, 0.0000), Dy at (0.0000, 0.5000, 0.5000), Dy at (0.1669, 0.0000, 0.8336), As at (0.0028, 0.0000, 0.7477), As at (0.1641, 0.5000, 0.5897) and As at (0.1677, 0.5000, 0.0759).

No. 5
Material: Tb2PrDyAs4
Method: DFT, GGA-PBE
State: relaxed

The energy relative to the elements is -1520 meV/atom.

The structure belongs to space group P2/m (No. 10); the cell edges are 7.2341, 4.1800 and 7.2349 Å and the angles 90.00°, 109.47° and 90.00°. The asymmetric unit holds Tb at (0.0000, 0.0000, 0.0000), Tb at (0.5000, 0.5000, 0.0000), Pr at (0.0000, 0.5000, 0.5000), Dy at (0.5000, 0.0000, 0.5000), As at (0.2542, 0.5000, 0.2474) and As at (0.2573, 0.0000, 0.7564).

No. 6
Material: Tb2PrDy3As6
Method: DFT, GGA-PBE
State: relaxed

The energy relative to the elements is -1525 meV/atom.

The structure belongs to space group C2/m (No. 12); the cell edges are 7.2033, 12.4743 and 7.2012 Å and the angles 90.00°, 109.47° and 90.00°. The asymmetric unit holds Tb at (0.0000, 0.1670, 0.0000), Pr at (0.0000, 0.5000, 0.0000), Dy at (0.0000, 0.0000, 0.5000), Dy at (0.0000, 0.3346, 0.5000), As at (0.2458, 0.0000, 0.2541) and As at (0.2456, 0.1694, 0.7451).

No. 7
Material: TbPr2Dy3As6
Method: DFT, GGA-PBE
State: relaxed

The energy relative to the elements is -1515 meV/atom.

The structure belongs to space group C2/m (No. 12); the cell edges are 18.2420, 4.1885 and 8.3717 Å and the angles 90.00°, 103.24° and 90.00°. The asymmetric unit holds Tb at (0.0000, 0.0000, 0.0000), Pr at (0.1657, 0.5000, 0.3320), Dy at (0.0000, 0.0000, 0.5000), Dy at (0.1671, 0.5000, 0.8340), As at (0.0030, 0.5000, 0.7510), As at (0.1641, 0.0000, 0.5898) and As at (0.1665, 0.0000, 0.0753).

No. 8
Material: TbPrDy2As4
Method: DFT, GGA-PBE
State: relaxed

The energy relative to the elements is -1520 meV/atom.

The structure belongs to space group P2/m (No. 10); the cell edges are 7.2248, 4.1751 and 7.2260 Å and the angles 90.00°, 109.47° and 90.00°. The asymmetric unit holds Tb at (0.0000, 0.0000, 0.0000), Pr at (0.0000, 0.5000, 0.5000), Dy at (0.5000, 0.0000, 0.5000), Dy at (0.5000, 0.5000, 0.0000), As at (0.2547, 0.5000, 0.2471) and As at (0.2581, 0.0000, 0.7573).